First-principles (GGA-PBE) data for crystalline Be2MoSe at its relaxed geometry, as listed in Alexandria via LeMat-Bulk.

Results
E_form (uncorrected) in eV per formula unit: 1.9
Calculated total energy in eV/atom: -4.96
Crystal system: tetragonal

Cell: 6.441 6.441 5.232 Å, 52.01 52.01 90.00°
Atoms (fractional coordinates):
Be1 0.375 0.406 0.750
Be2 0.594 0.125 0.250
Be3 0.875 0.844 0.750
Be4 0.156 0.625 0.250
Se1 0.500 0.500 0.000
Se2 0.250 0.750 0.500
Mo1 0.750 0.250 0.500
Mo2 0.000 0.000 0.000